First-principles (PBE-GGA) data for crystalline CoReSi2Tc at its relaxed geometry, as listed in Alexandria via LeMat-Bulk.

Results
Total magnetization, μB per formula unit: 0.0
Calculated total energy, eV per atom: -7.09
D(E_F), states/eV/cell: 6.46

Unit cell a=4.1703 b=4.3812 c=4.1703 alpha=90.00 beta=90.00 gamma=90.00
Atoms (fractional coordinates):
Si 0.0000 0.0000 0.5000
Si 0.5000 0.0000 0.0000
Co 0.0000 0.0000 0.0000
Re 0.5000 0.5000 0.5000
Tc 0.0000 0.5000 0.0000

***

First-principles (PBE-GGA) data for crystalline ThCoReSi2 at its relaxed geometry, as listed in Alexandria via LeMat-Bulk.

Results
Total magnetization, μB per formula unit: 0.0
Calculated total energy, eV per atom: -8.20
D(E_F), states/eV/cell: 4.35

Unit cell a=4.1443 b=4.1443 c=5.7447 alpha=111.14 beta=111.14 gamma=90.00
Atoms (fractional coordinates):
Si 0.3696 0.3696 0.7393
Si 0.6304 0.6304 0.2607
Re 0.2500 0.7500 0.5000
Co 0.7500 0.2500 0.5000
Th 0.0000 0.0000 0.0000

***

First-principles (PBE-GGA) data for crystalline TiCoReSi at its relaxed geometry, as listed in Alexandria via LeMat-Bulk.

Results
Total magnetization, μB per formula unit: 0.0
Calculated total energy, eV per atom: -8.70
D(E_F), states/eV/cell: 1.92

Unit cell a=4.1943 b=4.1943 c=4.1943 alpha=60.00 beta=60.00 gamma=60.00
Atoms (fractional coordinates):
Si 0.5000 0.5000 0.5000
Re 0.7500 0.7500 0.7500
Co 0.2500 0.2500 0.2500
Ti 0.0000 0.0000 0.0000

***

First-principles (PBE-GGA) data for crystalline TmCoReSi2 at its relaxed geometry, as listed in Alexandria via LeMat-Bulk.

Results
Total magnetization, μB per formula unit: 0.0
Calculated total energy, eV per atom: -7.58
D(E_F), states/eV/cell: 4.39

Unit cell a=4.0514 b=4.0514 c=5.6480 alpha=111.02 beta=111.02 gamma=90.00
Atoms (fractional coordinates):
Si 0.3744 0.3744 0.7488
Si 0.6256 0.6256 0.2512
Re 0.2500 0.7500 0.5000
Co 0.7500 0.2500 0.5000
Tm 0.0000 0.0000 0.0000

***

First-principles (PBE-GGA) data for crystalline VCoReSi2 at its relaxed geometry, as listed in Alexandria via LeMat-Bulk.

Results
Total magnetization, μB per formula unit: 0.2
Calculated total energy, eV per atom: -6.97
D(E_F), states/eV/cell: 8.25

Unit cell a=4.1284 b=4.5553 c=4.1284 alpha=90.00 beta=90.00 gamma=90.00
Each line ends with the local moment (μB).
Atoms (fractional coordinates):
V 0.5000 0.5000 0.5000  0.09
Re 0.0000 0.5000 0.0000  0.04
Co 0.0000 0.0000 0.0000  0.02
Si 0.5000 0.0000 0.0000  0.00
Si 0.0000 0.0000 0.5000  0.00

***

First-principles (PBE-GGA) data for crystalline ZnCoRe2Si at its relaxed geometry, as listed in Alexandria via LeMat-Bulk.

Results
Total magnetization, μB per formula unit: 0.0
Calculated total energy, eV per atom: -6.48
D(E_F), states/eV/cell: 5.14

Unit cell a=4.4899 b=4.0893 c=4.4899 alpha=90.00 beta=90.00 gamma=90.00
Atoms (fractional coordinates):
Zn 0.5000 0.5000 0.5000
Re 0.0000 0.0000 0.5000
Re 0.5000 0.0000 0.0000
Co 0.0000 0.0000 0.0000
Si 0.0000 0.5000 0.0000